16
Lattice="6.6574 0.0000 0.0000 0.0000 6.6574 0.0000 0.0000 0.0000 6.6574" Properties=species:S:1:pos:R:3 comment="PBE Ta2PdI, optimized geometry" polymorph_energy_mev_per_atom=0 raw_formation_energy_ev_per_atom=0.546 magmom_total_mub_per_atom=0.000 dos_ef_per_ev_fu=4.333 density_g_cm3=13.399 pbc="T T T"
Ta 1.6643 1.6643 1.6643
Ta 1.6643 1.6643 4.9930
Ta 1.6643 4.9930 1.6643
Ta 1.6643 4.9930 4.9930
Ta 4.9930 1.6643 1.6643
Ta 4.9930 1.6643 4.9930
Ta 4.9930 4.9930 1.6643
Ta 4.9930 4.9930 4.9930
Pd 0.0000 0.0000 0.0000
Pd 0.0000 3.3287 3.3287
Pd 3.3287 0.0000 3.3287
Pd 3.3287 3.3287 0.0000
I 0.0000 0.0000 3.3287
I 0.0000 3.3287 0.0000
I 3.3287 0.0000 0.0000
I 3.3287 3.3287 3.3287